(1)
A plane-wave DFT calculation with GGA-PBE was carried out for an optimized crystal structure of Dy4HoIn3.

Calculated values
**Excess energy over the best structure of this formula in the dataset**: 102 meV per atom
**Volume**: 466.87 Å³/cell
**ΔH_f (0 K)**: -0.215 eV per atom
**DOS at the Fermi energy**: 1.000 states/eV per atom

Lattice parameters (Å, degrees): 3.511 8.837 15.047 90.00 90.00 90.00
Space group Immm (No. 71)
Inequivalent atoms, fractional coordinates:
Dy (0.000, 0.199, 0.139) x8
Ho (0.000, 0.500, 0.000) x2
In (0.000, 0.000, 0.316) x4
In (0.000, 0.500, 0.500) x2

---

(2)
A plane-wave DFT calculation with GGA-PBE was carried out for an optimized crystal structure of DyHo4In3.

Calculated values
**Excess energy over the best structure of this formula in the dataset**: 102 meV per atom
**Volume**: 462.78 Å³/cell
**ΔH_f (0 K)**: -0.210 eV per atom
**DOS at the Fermi energy**: 1.055 states/eV per atom

Lattice parameters (Å, degrees): 3.488 8.803 15.074 90.00 90.00 90.00
Space group Immm (No. 71)
Inequivalent atoms, fractional coordinates:
Dy (0.000, 0.000, 0.000) x2
Ho (0.000, 0.302, 0.140) x8
In (0.000, 0.000, 0.500) x2
In (0.000, 0.500, 0.315) x4

---

(3)
A plane-wave DFT calculation with GGA-PBE was carried out for an optimized crystal structure of Dy14HoIn.

Calculated values
**Volume**: 492.09 Å³/cell
**ΔH_f (0 K)**: -0.030 eV per atom
**DOS at the Fermi energy**: 1.400 states/eV per atom

Lattice parameters (Å, degrees): 7.025 7.025 9.970 90.00 90.00 90.00
Space group P4/mmm (No. 123)
Inequivalent atoms, fractional coordinates:
Dy (0.000, 0.000, 0.000) x1
Dy (0.000, 0.500, 0.000) x2
Dy (0.000, 0.500, 0.500) x2
Dy (0.250, 0.250, 0.252) x8
Dy (0.500, 0.500, 0.000) x1
Ho (0.000, 0.000, 0.500) x1
In (0.500, 0.500, 0.500) x1

---

(4)
A plane-wave DFT calculation with GGA-PBE was carried out for an optimized crystal structure of Dy7Ho12In.

Calculated values
**Volume**: 1900.70 Å³/cell
**ΔH_f (0 K)**: 0.169 eV per atom
**DOS at the Fermi energy**: 1.621 states/eV per atom

Lattice parameters (Å, degrees): 11.9114 11.9114 15.4687 90.00 90.00 120.00
Space group R-3 (No. 148, hexagonal axes)
Inequivalent atoms, fractional coordinates:
Dy (0.0000, 0.0000, 0.0000) x3
Dy (0.0550, 0.8672, 0.2987) x18
Ho (0.0336, 0.5778, 0.2128) x18
Ho (0.0554, 0.4705, 0.5856) x18
In (0.0000, 0.0000, 0.5000) x3

---

(5)
A plane-wave DFT calculation with GGA-PBE was carried out for an optimized crystal structure of Dy4HoIn2.

Calculated values
**Excess energy over the best structure of this formula in the dataset**: 7 meV per atom
**Volume**: 424.57 Å³/cell
**ΔH_f (0 K)**: -0.107 eV per atom
**DOS at the Fermi energy**: 1.188 states/eV per atom

Lattice parameters (Å, degrees): 6.258 10.731 6.854 90.00 112.72 90.00
Space group P2_1/c (No. 14)
Inequivalent atoms, fractional coordinates:
Dy (0.002, 0.166, 0.000) x4
Dy (0.498, 0.719, 0.999) x4
Ho (0.000, 0.000, 0.500) x2
In (0.465, 0.000, 0.195) x4

---

(6)
A plane-wave DFT calculation with GGA-PBE was carried out for an optimized crystal structure of La2DyHo2In5.

Calculated values
**Volume**: 570.76 Å³/cell
**ΔH_f (0 K)**: -0.363 eV per atom
**DOS at the Fermi energy**: 0.858 states/eV per atom

Lattice parameters (Å, degrees): 11.070 11.070 4.657 90.00 90.00 90.00
Space group P4/mbm (No. 127)
Inequivalent atoms, fractional coordinates:
La (0.176, 0.324, 0.000) x4
Dy (0.000, 0.000, 0.000) x2
Ho (0.125, 0.625, 0.000) x4
In (0.000, 0.500, 0.500) x2
In (0.062, 0.806, 0.500) x8

---

(7)
A plane-wave DFT calculation with GGA-PBE was carried out for an optimized crystal structure of LaDyHoIn.

Calculated values
**Excess energy over the best structure of this formula in the dataset**: 65 meV per atom
**Volume**: 466.29 Å³/cell
**ΔH_f (0 K)**: -0.087 eV per atom
**DOS at the Fermi energy**: 1.883 states/eV per atom

Lattice parameters (Å, degrees): 7.754 7.754 7.754 90.00 90.00 90.00
Space group F-43m (No. 216)
Inequivalent atoms, fractional coordinates:
La (0.000, 0.000, 0.000) x4
Dy (0.250, 0.250, 0.250) x4
Ho (0.250, 0.250, 0.750) x4
In (0.000, 0.000, 0.500) x4

---

(8)
A plane-wave DFT calculation with GGA-PBE was carried out for an optimized crystal structure of LaDyHoIn.

Calculated values
**Excess energy over the best structure of this formula in the dataset**: 0 meV per atom
**Volume**: 481.11 Å³/cell
**ΔH_f (0 K)**: -0.152 eV per atom
**DOS at the Fermi energy**: 1.503 states/eV per atom

Lattice parameters (Å, degrees): 7.836 7.836 7.836 90.00 90.00 90.00
Space group F-43m (No. 216)
Inequivalent atoms, fractional coordinates:
La (0.000, 0.000, 0.000) x4
Dy (0.000, 0.000, 0.500) x4
Ho (0.250, 0.250, 0.750) x4
In (0.250, 0.250, 0.250) x4

---

(9)
A plane-wave DFT calculation with GGA-PBE was carried out for an optimized crystal structure of LiDy2HoIn4.

Calculated values
**Volume**: 607.09 Å³/cell
**ΔH_f (0 K)**: -0.417 eV per atom
**DOS at the Fermi energy**: 0.494 states/eV per atom

Lattice parameters (Å, degrees): 5.1937 5.1937 25.9880 90.00 90.00 120.00
Space group R-3m (No. 166, hexagonal axes)
Inequivalent atoms, fractional coordinates:
Li (0.0000, 0.0000, 0.0000) x3
Dy (0.0000, 0.0000, 0.2538) x6
Ho (0.0000, 0.0000, 0.5000) x3
In (0.0000, 0.0000, 0.1231) x6
In (0.0000, 0.0000, 0.3737) x6

---

(10)
A plane-wave DFT calculation with GGA-PBE was carried out for an optimized crystal structure of LiDyHoIn.

Calculated values
**Volume**: 411.44 Å³/cell
**ΔH_f (0 K)**: -0.263 eV per atom
**DOS at the Fermi energy**: 0.812 states/eV per atom

Lattice parameters (Å, degrees): 7.438 7.438 7.438 90.00 90.00 90.00
Space group F-43m (No. 216)
Inequivalent atoms, fractional coordinates:
Li (0.000, 0.000, 0.000) x4
Dy (0.250, 0.250, 0.250) x4
Ho (0.250, 0.250, 0.750) x4
In (0.000, 0.000, 0.500) x4

---

(11)
A plane-wave DFT calculation with GGA-PBE was carried out for an optimized crystal structure of Li2DyHo2In2.

Calculated values
**Volume**: 534.12 Å³/cell
**ΔH_f (0 K)**: -0.219 eV per atom
**DOS at the Fermi energy**: 0.750 states/eV per atom

Lattice parameters (Å, degrees): 4.8415 4.8415 26.3120 90.00 90.00 120.00
Space group R-3m (No. 166, hexagonal axes)
Inequivalent atoms, fractional coordinates:
Li (0.0000, 0.0000, 0.1037) x6
Dy (0.0000, 0.0000, 0.5000) x3
Ho (0.0000, 0.0000, 0.3724) x6
In (0.0000, 0.0000, 0.2381) x6

---

(12)
A plane-wave DFT calculation with GGA-PBE was carried out for an optimized crystal structure of DyHoLuIn.

Calculated values
**Volume**: 446.57 Å³/cell
**ΔH_f (0 K)**: -0.139 eV per atom
**DOS at the Fermi energy**: 1.596 states/eV per atom

Lattice parameters (Å, degrees): 7.644 7.644 7.644 90.00 90.00 90.00
Space group F-43m (No. 216)
Inequivalent atoms, fractional coordinates:
Dy (0.000, 0.000, 0.000) x4
Ho (0.000, 0.000, 0.500) x4
Lu (0.250, 0.250, 0.250) x4
In (0.250, 0.250, 0.750) x4